LiTlPd2 | SCAN | single point on PBEsol structure

Cell and atoms, written as POSCAR:
```
LiTlPd2
1.0
-2.151 1.709 3.065
-1.498 -4.237 -1.453
0.956 -3.173 2.440
Pd Tl Li
2 1 1
Cartesian
-1.048 -2.485 0.650 Pd
-1.646 -3.217 3.402 Pd
0.000 0.000 0.000 Tl
-0.598 -0.732 2.752 Li
```

Output
Formation enthalpy at 0 K = -0.41 eV/atom
Space-group type = No. 139